Compound: GdMgPt
Source: the Open Quantum Materials Database
Functional: PBE
Structure: relaxed

Results
M_tot in Bohr magnetons per cell: 0.0
DFT total energy in eV per atom: -4.87

Structure (POSCAR):
```
GdMgPt
1.0
4.664 0.000 0.000
-2.332 4.039 0.000
0.000 0.000 6.800
Gd Mg Pt
2 2 2
Direct
0.000 0.000 0.000 Gd
0.000 0.000 0.500 Gd
0.333 0.667 0.259 Mg
0.667 0.333 0.759 Mg
0.333 0.667 0.723 Pt
0.667 0.333 0.223 Pt
```